(1)
# Tl2In2SnHg GGA-PBE optimized geometry
data_Tl2In2SnHg
_chemical_formula_sum 'Tl4 In4 Sn2 Hg2'
_space_group_name_H-M_alt 'P m c 21'
_space_group_IT_number 26
_cell_length_a 5.412
_cell_length_b 9.641
_cell_length_c 6.566
_cell_angle_alpha 90.00
_cell_angle_beta 90.00
_cell_angle_gamma 90.00
loop_
_space_group_symop_operation_xyz
'x,y,z'
'-x,-y,z+1/2'
'-x,y,z'
'x,-y,z+1/2'
loop_
_atom_site_label
_atom_site_type_symbol
_atom_site_fract_x
_atom_site_fract_y
_atom_site_fract_z
_atom_site_occupancy
Tl1 Tl 0.000 0.027 0.000 1
Tl2 Tl 0.500 0.161 0.306 1
In1 In 0.000 0.360 0.096 1
In2 In 0.500 0.204 0.807 1
Sn1 Sn 0.000 0.313 0.582 1
Hg1 Hg 0.500 0.495 0.514 1
# Raw total energy   -28.75 eV per cell
# ΔH_f (0 K)   23 meV per atom

***

(2)
# DyThZnSn GGA-PBE optimized geometry
data_DyThZnSn
_chemical_formula_sum 'Dy4 Th4 Zn4 Sn4'
_space_group_name_H-M_alt 'F -4 3 m'
_space_group_IT_number 216
_space_group_name_Hall 'F -4 2 3'
_cell_length_a 7.478
_cell_length_b 7.478
_cell_length_c 7.478
_cell_angle_alpha 90.00
_cell_angle_beta 90.00
_cell_angle_gamma 90.00
loop_
_atom_site_label
_atom_site_type_symbol
_atom_site_fract_x
_atom_site_fract_y
_atom_site_fract_z
_atom_site_occupancy
Dy1 Dy 0.000 0.000 0.000 1
Th1 Th 0.000 0.000 0.500 1
Zn1 Zn 0.250 0.250 0.250 1
Sn1 Sn 0.250 0.250 0.750 1
# Raw total energy   -75.04 eV per cell
# ΔH_f (0 K)   -366 meV per atom

***

(3)
# TaAgOs GGA-PBE optimized geometry
data_TaAgOs
_chemical_formula_sum 'Ta2 Ag2 Os2'
_space_group_name_H-M_alt 'I 4 m m'
_space_group_IT_number 107
_space_group_name_Hall 'I 4 -2'
_cell_length_a 3.331
_cell_length_b 3.331
_cell_length_c 9.131
_cell_angle_alpha 90.00
_cell_angle_beta 90.00
_cell_angle_gamma 90.00
loop_
_atom_site_label
_atom_site_type_symbol
_atom_site_fract_x
_atom_site_fract_y
_atom_site_fract_z
_atom_site_occupancy
Ta1 Ta 0.000 0.000 0.000 1
Ag1 Ag 0.000 0.000 0.683 1
Os1 Os 0.000 0.000 0.366 1
# Raw total energy   -50.86 eV per cell
# ΔH_f (0 K)   168 meV per atom

***

(4)
# Na3NiRh2S6 GGA-PBE optimized geometry
data_Na3NiRh2S6
_chemical_formula_sum 'Na6 Ni2 Rh4 S12'
_space_group_name_H-M_alt 'C 1 2/m 1'
_space_group_IT_number 12
_cell_length_a 6.250
_cell_length_b 10.839
_cell_length_c 6.638
_cell_angle_alpha 90.00
_cell_angle_beta 108.35
_cell_angle_gamma 90.00
loop_
_space_group_symop_operation_xyz
'x,y,z'
'-x,-y,-z'
'-x,y,-z'
'x,-y,z'
'x+1/2,y+1/2,z'
'-x+1/2,-y+1/2,-z'
'-x+1/2,y+1/2,-z'
'x+1/2,-y+1/2,z'
loop_
_atom_site_label
_atom_site_type_symbol
_atom_site_fract_x
_atom_site_fract_y
_atom_site_fract_z
_atom_site_occupancy
Na1 Na 0.000 0.000 0.000 1
Na2 Na 0.000 0.332 0.000 1
Ni1 Ni 0.000 0.500 0.500 1
Rh1 Rh 0.000 0.167 0.500 1
S1 S 0.227 0.335 0.688 1
S2 S 0.234 0.000 0.686 1
# Raw total energy   -114.53 eV per cell
# Formation energy (no corrections)   -0.67 eV per atom

***

Look up the raw total energy of the second one. -75.04 eV per cell